{
  "formula": "BaVCdF6",
  "functional": "PBE with a Hubbard U",
  "state": "relaxed",
  "space_group": "No. 5",
  "lattice": [[2.913, -5.035, 0.000], [2.913, 5.035, 0.000], [-0.004, 0.000, 5.534]],
  "species": ["Ba", "V", "Cd", "F", "F", "F", "F", "F", "F"],
  "frac_coords": [[0.000, 0.000, 0.000], [0.667, 0.333, 0.500], [0.333, 0.667, 0.500], [0.370, 0.352, 0.289], [0.372, 0.018, 0.712], [0.646, 0.017, 0.288], [0.648, 0.630, 0.711], [0.982, 0.628, 0.288], [0.983, 0.354, 0.712]]
}

=====

{
  "formula": "BaVCdF7",
  "functional": "PBE with a Hubbard U",
  "state": "relaxed",
  "space_group": "No. 15",
  "lattice": [[7.066, -2.751, 0.000], [7.066, 2.751, 0.000], [-0.405, 0.000, 15.419]],
  "species": ["Ba", "Ba", "Ba", "Ba", "V", "V", "V", "V", "Cd", "Cd", "Cd", "Cd", "F", "F", "F", "F", "F", "F", "F", "F", "F", "F", "F", "F", "F", "F", "F", "F", "F", "F", "F", "F", "F", "F", "F", "F", "F", "F", "F", "F"],
  "frac_coords": [[0.150, 0.227, 0.127], [0.227, 0.150, 0.627], [0.773, 0.850, 0.373], [0.850, 0.773, 0.873], [0.112, 0.136, 0.875], [0.136, 0.112, 0.375], [0.864, 0.888, 0.625], [0.888, 0.864, 0.125], [0.462, 0.538, 0.250], [0.500, 0.500, 0.000], [0.500, 0.500, 0.500], [0.538, 0.462, 0.750], [0.054, 0.614, 0.223], [0.072, 0.749, 0.516], [0.118, 0.872, 0.345], [0.128, 0.882, 0.155], [0.146, 0.611, 0.705], [0.164, 0.558, 0.048], [0.188, 0.320, 0.404], [0.251, 0.928, 0.984], [0.320, 0.188, 0.904], [0.332, 0.553, 0.873], [0.386, 0.946, 0.277], [0.389, 0.854, 0.795], [0.442, 0.836, 0.452], [0.447, 0.668, 0.627], [0.553, 0.332, 0.373], [0.558, 0.164, 0.548], [0.611, 0.146, 0.205], [0.614, 0.054, 0.723], [0.668, 0.447, 0.127], [0.680, 0.812, 0.096], [0.749, 0.072, 0.016], [0.812, 0.680, 0.596], [0.836, 0.442, 0.952], [0.854, 0.389, 0.295], [0.872, 0.118, 0.845], [0.882, 0.128, 0.655], [0.928, 0.251, 0.484], [0.946, 0.386, 0.777]]
}

=====

In order of appearance, total energy = -5.30, -5.34 eV/atom.
In order of appearance, calculated density = 4.242, 4.806 Mg/m³.